Entry 1:
CsBiSe: relaxed, PBE.

extended XYZ file:
```
6
Lattice="5.612 0.000 0.000 -0.939 7.174 0.000 -1.661 -2.185 7.002" Properties=species:S:1:pos:R:3 pbc="T T T"
Cs 0.000 0.000 0.000
Cs 0.448 1.317 5.295
Bi 1.406 4.583 2.460
Bi 3.105 2.090 2.402
Se 0.188 4.903 4.771
Se 4.802 3.582 0.924
```

Calculated total energy: -3.33 eV per atom
Symmetry: No. 1
Energy relative to the elements, uncorrected: -0.587 eV per atom
ΔE to the lowest computed polymorph: 0.094 eV/atom



Entry 2:
CsBiSe: relaxed, PBE.

extended XYZ file:
```
12
Lattice="5.346 0.000 0.000 0.000 11.309 0.000 0.000 0.000 8.577" Properties=species:S:1:pos:R:3 pbc="T T T"
Cs 1.337 1.618 0.000
Cs 1.337 4.037 4.289
Cs 4.010 7.272 4.289
Cs 4.010 9.691 0.000
Bi 1.337 6.539 8.244
Bi 1.337 10.425 3.955
Bi 4.010 0.884 3.955
Bi 4.010 4.770 8.244
Se 1.337 8.298 2.034
Se 1.337 8.665 6.323
Se 4.010 2.644 6.323
Se 4.010 3.011 2.034
```

Calculated total energy: -3.34 eV per atom
Symmetry: No. 46
Energy relative to the elements, uncorrected: -0.602 eV per atom
ΔE to the lowest computed polymorph: 0.079 eV/atom
N(E_F): 0.327 states/eV/atom



Entry 3:
CsBi2Se2: relaxed, PBE.

extended XYZ file:
```
10
Lattice="4.747 0.000 0.000 0.000 4.747 0.000 0.000 0.000 14.846" Properties=species:S:1:pos:R:3 pbc="T T T"
Cs 0.000 0.000 0.000
Cs 2.373 2.373 7.423
Bi 0.000 2.373 3.712
Bi 0.000 2.373 11.135
Bi 2.373 0.000 3.712
Bi 2.373 0.000 11.135
Se 0.000 0.000 6.145
Se 0.000 0.000 8.701
Se 2.373 2.373 1.278
Se 2.373 2.373 13.568
```

Calculated total energy: -3.42 eV per atom
Symmetry: No. 139
Energy relative to the elements, uncorrected: -0.304 eV per atom
ΔE to the lowest computed polymorph: 0.112 eV/atom
N(E_F): 0.440 states/eV/atom



Entry 4:
Cs8BiSe2: relaxed, PBE.

extended XYZ file:
```
11
Lattice="5.586 -8.181 0.000 5.586 8.181 0.000 -1.523 0.000 6.858" Properties=species:S:1:pos:R:3 pbc="T T T"
Cs 1.199 2.174 3.900
Cs 5.586 4.211 0.000
Cs 1.199 -2.174 3.900
Cs 3.804 0.000 1.460
Cs 5.846 0.000 5.398
Cs 8.450 2.174 2.958
Cs 5.586 -4.211 0.000
Cs 8.450 -2.174 2.958
Bi 0.000 0.000 0.000
Se 4.825 2.985 3.429
Se 4.825 -2.985 3.429
```

Calculated total energy: -2.25 eV per atom
Symmetry: No. 12
Energy relative to the elements, uncorrected: -0.646 eV per atom
N(E_F): 0.283 states/eV/atom



Entry 5:
CsBi3Se5: relaxed, PBE.

extended XYZ file:
```
36
Lattice="23.233 0.000 0.000 0.000 4.219 0.000 0.000 0.000 12.575" Properties=species:S:1:pos:R:3 pbc="T T T"
Cs 4.960 1.055 0.120
Cs 6.657 3.164 6.408
Cs 16.576 1.055 6.167
Cs 18.273 3.164 12.454
Bi 0.547 1.055 1.714
Bi 1.689 3.164 5.121
Bi 2.803 1.055 8.748
Bi 8.813 3.164 2.461
Bi 9.928 1.055 11.409
Bi 11.070 3.164 8.001
Bi 12.163 1.055 4.573
Bi 13.305 3.164 1.166
Bi 14.420 1.055 10.114
Bi 20.430 3.164 3.827
Bi 21.545 1.055 7.453
Bi 22.687 3.164 10.861
Se 0.446 3.164 8.036
Se 1.434 1.055 11.512
Se 2.529 3.164 2.440
Se 3.531 1.055 5.954
Se 4.538 3.164 9.436
Se 7.078 1.055 3.149
Se 8.086 3.164 12.241
Se 9.088 1.055 8.727
Se 10.183 3.164 5.224
Se 11.171 1.055 1.749
Se 12.063 3.164 10.826
Se 13.050 1.055 7.350
Se 14.145 3.164 3.847
Se 15.148 1.055 0.333
Se 16.155 3.164 9.426
Se 18.695 1.055 3.138
Se 19.702 3.164 6.621
Se 20.704 1.055 10.135
Se 21.799 3.164 1.063
Se 22.787 1.055 4.538
```

Calculated total energy: -3.92 eV per atom
Symmetry: No. 62
Energy relative to the elements, uncorrected: -0.598 eV per atom



Entry 6:
Cs4BiSe4: relaxed, PBE.

extended XYZ file:
```
9
Lattice="-4.270 4.270 7.237 4.270 -4.270 7.237 4.270 4.270 -7.237" Properties=species:S:1:pos:R:3 pbc="T T T"
Cs 4.270 0.000 0.000
Cs 0.000 0.000 2.899
Cs 0.000 4.270 0.000
Cs 0.000 0.000 11.574
Bi 0.000 0.000 7.237
Se 2.695 2.695 -1.628
Se 1.575 -1.575 8.865
Se 1.575 1.575 5.609
Se -1.575 1.575 8.865
```

Calculated total energy: -3.22 eV per atom
Symmetry: No. 121
Energy relative to the elements, uncorrected: -0.865 eV per atom
N(E_F): 0.431 states/eV/atom



Entry 7:
CsBiSe: relaxed, PBE.

extended XYZ file:
```
12
Lattice="12.850 0.000 0.000 0.000 4.798 0.000 -1.891 0.000 8.706" Properties=species:S:1:pos:R:3 pbc="T T T"
Cs 0.640 0.000 3.015
Cs 3.894 2.399 5.691
Cs 7.065 2.399 3.015
Cs 10.319 0.000 5.691
Bi 0.324 2.399 8.499
Bi 4.209 0.000 0.207
Bi 6.749 0.000 8.499
Bi 10.634 2.399 0.207
Se 0.220 2.399 5.855
Se 4.314 0.000 2.852
Se 6.645 0.000 5.855
Se 10.739 2.399 2.852
```

Calculated total energy: -3.40 eV per atom
Symmetry: No. 12
Energy relative to the elements, uncorrected: -0.663 eV per atom
ΔE to the lowest computed polymorph: 0.018 eV/atom
N(E_F): 0.082 states/eV/atom



Entry 8:
CsBiSe: relaxed, PBE.

extended XYZ file:
```
6
Lattice="4.694 0.000 0.000 -2.236 4.637 0.000 -2.337 -1.643 12.089" Properties=species:S:1:pos:R:3 pbc="T T T"
Cs 0.000 0.000 0.000
Cs -0.004 0.014 4.658
Bi -2.239 1.286 8.950
Bi 0.101 2.904 7.672
Se 0.057 2.830 2.321
Se 2.409 1.821 2.318
```

Calculated total energy: -3.24 eV per atom
Symmetry: No. 1
Energy relative to the elements, uncorrected: -0.497 eV per atom
ΔE to the lowest computed polymorph: 0.183 eV/atom
N(E_F): 0.540 states/eV/atom



Entry 9:
Cs2Bi4Se7: relaxed, PBE.

extended XYZ file:
```
26
Lattice="13.509 0.000 0.000 0.000 4.281 0.000 -1.178 0.000 15.586" Properties=species:S:1:pos:R:3 pbc="T T T"
Cs 0.690 1.070 2.933
Cs 4.036 3.210 5.910
Cs 8.296 1.070 9.675
Cs 11.642 3.210 12.653
Bi 0.753 3.210 8.916
Bi 2.008 3.210 14.813
Bi 3.615 1.070 11.298
Bi 5.895 1.070 1.884
Bi 6.437 3.210 13.702
Bi 8.717 3.210 4.288
Bi 10.324 1.070 0.773
Bi 11.578 1.070 6.670
Se 0.125 3.210 6.129
Se 0.180 1.070 15.023
Se 1.691 3.210 11.860
Se 2.788 1.070 8.542
Se 3.876 3.210 2.153
Se 4.360 1.070 14.308
Se 5.719 3.210 10.962
Se 6.613 1.070 4.624
Se 7.972 3.210 1.278
Se 8.456 1.070 13.433
Se 9.544 3.210 7.044
Se 10.641 1.070 3.726
Se 12.152 3.210 0.562
Se 12.206 1.070 9.457
```

Calculated total energy: -3.86 eV per atom
Symmetry: No. 11
Energy relative to the elements, uncorrected: -0.662 eV per atom



Entry 10:
CsBi2Se2: relaxed, PBE.

extended XYZ file:
```
10
Lattice="5.817 0.000 0.000 0.000 5.817 0.000 0.000 0.000 10.498" Properties=species:S:1:pos:R:3 pbc="T T T"
Cs 0.000 0.000 0.000
Cs 2.908 2.908 5.249
Bi 0.000 0.000 3.636
Bi 0.000 0.000 6.862
Bi 2.908 2.908 1.613
Bi 2.908 2.908 8.885
Se 0.000 2.908 2.624
Se 0.000 2.908 7.873
Se 2.908 0.000 2.624
Se 2.908 0.000 7.873
```

Calculated total energy: -3.53 eV per atom
Symmetry: No. 139
Energy relative to the elements, uncorrected: -0.416 eV per atom
ΔE to the lowest computed polymorph: 0.000 eV/atom
N(E_F): 0.523 states/eV/atom



Entry 11:
CsBiSe3: relaxed, PBE.

extended XYZ file:
```
20
Lattice="8.536 0.000 0.000 0.000 10.075 0.000 0.000 0.000 8.170" Properties=species:S:1:pos:R:3 pbc="T T T"
Cs 0.256 2.519 0.429
Cs 4.012 7.556 4.514
Cs 4.524 2.519 3.656
Cs 8.280 7.556 7.741
Bi 0.000 0.000 4.085
Bi 0.000 5.037 4.085
Bi 4.268 0.000 0.000
Bi 4.268 5.037 0.000
Se 1.251 2.519 5.090
Se 2.046 0.264 6.241
Se 2.046 4.773 6.241
Se 2.222 5.301 2.156
Se 2.222 9.811 2.156
Se 3.017 7.556 1.006
Se 5.519 2.519 7.164
Se 6.314 0.264 6.014
Se 6.314 4.773 6.014
Se 6.490 5.301 1.929
Se 6.490 9.811 1.929
Se 7.284 7.556 3.079
```

Calculated total energy: -3.47 eV per atom
Symmetry: No. 62
Energy relative to the elements, uncorrected: -0.432 eV per atom
ΔE to the lowest computed polymorph: 0.000 eV/atom
N(E_F): 0.080 states/eV/atom



Entry 12:
CsBi2Se2: relaxed, PBE.

extended XYZ file:
```
10
Lattice="9.796 0.000 0.000 0.000 9.796 0.000 0.000 0.000 3.991" Properties=species:S:1:pos:R:3 pbc="T T T"
Cs 0.000 0.000 0.000
Cs 4.898 4.898 0.000
Bi 1.849 3.049 1.995
Bi 3.049 7.947 1.995
Bi 6.747 1.849 1.995
Bi 7.947 6.747 1.995
Se 1.710 6.607 0.000
Se 3.188 1.710 0.000
Se 6.607 8.086 0.000
Se 8.086 3.188 0.000
```

Calculated total energy: -3.39 eV per atom
Symmetry: No. 127
Energy relative to the elements, uncorrected: -0.276 eV per atom
ΔE to the lowest computed polymorph: 0.140 eV/atom
N(E_F): 0.284 states/eV/atom



- Look up the energy relative to the elements, uncorrected of the ninth one.
  -0.662 eV per atom



- Among the records above, which one has the lowest calculated total energy?
  CsBi3Se5